# 1
AcHoHgRu | GGA-PBE | optimized geometry

Geometry as extended XYZ:
```
4
Lattice="5.2478 0.0000 0.0000 2.6239 4.5447 0.0000 2.6239 1.5149 4.2848" Properties=species:S:1:pos:R:3 pbc="T T T"
Ho 7.8716 4.5447 3.2136
Hg 5.2478 3.0298 2.1424
Ru 0.0000 0.0000 0.0000
Ac 2.6239 1.5149 1.0712
```

Output
density of states at the Fermi level	0.86	states/eV/atom
ρ	11.271	g/cm³
E_form	-0.190	eV/atom
calculated volume	102.2	Å³ per cell
E	-19.0	eV per cell

# 2
Ce2ThCd2 | GGA-PBE | optimized geometry

Geometry as extended XYZ:
```
5
Lattice="4.1837 -0.0314 -0.6906 -0.1261 3.1488 -0.9071 -0.5387 1.0806 9.7535" Properties=species:S:1:pos:R:3 pbc="T T T"
Ce 0.8584 1.5239 5.1705
Ce 2.6605 2.6742 2.9853
Th 2.0288 1.5587 -0.7989
Cd 0.3233 0.5689 1.9298
Cd 3.1956 3.6292 6.2260
```

Output
density of states at the Fermi level	1.44	states/eV/atom
ρ	9.311	g/cm³
E_form	-0.082	eV/atom
calculated volume	131.5	Å³ per cell
E	-21.5	eV per cell

# 3
KNa4Se4 | GGA-PBE | optimized geometry

Geometry as extended XYZ:
```
18
Lattice="-2.8878 0.0648 5.1718 -6.1103 -6.5875 -3.3293 5.7148 -6.9577 3.2782" Properties=species:S:1:pos:R:3 pbc="T T T"
Na 1.7817 -8.3996 3.7329
Na -1.4983 -9.9273 5.3131
Na -3.4266 -10.2933 2.3680
Na -0.5034 -3.1726 3.9110
Na 2.2915 -5.2982 2.1057
Na -3.3338 -8.2324 -0.9985
Na -4.4182 -5.0953 0.2296
Na -4.0260 -3.5028 3.8212
Se 0.8640 -5.7768 4.7222
Se -1.5427 -10.2963 0.0425
Se -0.4944 -9.9890 2.4668
Se 0.3214 -7.8563 6.2882
Se -4.8068 -7.6888 1.5798
Se 0.4877 -3.2340 1.0877
Se -2.1293 -3.5062 1.4727
Se -5.8330 -5.5741 2.8231
K -1.6416 -6.7402 2.5604
K 0.0000 0.0000 0.0000
```

Output
density of states at the Fermi level	0.51	states/eV/atom
ρ	2.729	g/cm³
uncorrected formation energy	-688	kJ/mol of formula units
calculated volume	543.9	Å³ per cell
E	-54.9	eV per cell

# 4
LiDyAg | GGA-PBE | optimized geometry

Geometry as extended XYZ:
```
18
Lattice="6.7316 0.0000 3.0716 2.3369 7.2693 3.7908 0.1853 0.5373 8.5060" Properties=species:S:1:pos:R:3 pbc="T T T"
Li 3.7819 0.9208 3.0412
Li 7.2977 6.8858 13.1603
Li 6.6555 0.0000 3.0369
Li 6.0364 2.9818 7.0125
Li 7.9166 3.9033 9.1853
Li 5.0432 4.8248 9.1890
Dy 7.4000 7.2176 9.8544
Dy 1.3518 0.5890 5.2849
Dy 6.3242 3.8518 12.2122
Dy 2.4278 3.9549 2.9272
Dy 4.0530 5.5864 5.9983
Dy 2.9774 2.2202 8.3556
Ag 1.0041 1.3027 2.3180
Ag 2.2652 5.2059 8.4665
Ag 4.9311 6.5039 11.5361
Ag 6.8651 5.5862 7.2811
Ag 3.6701 2.6007 5.3877
Ag 5.7892 2.2204 9.6390
```

Output
density of states at the Fermi level	0.68	states/eV/atom
ρ	6.869	g/cm³
E_form	-0.189	eV/atom
calculated volume	402.2	Å³ per cell
E	-59.6	eV per cell

# 5
Nd6As2S3Br | GGA-PBE | optimized geometry

Geometry as extended XYZ:
```
12
Lattice="4.1696 0.0000 0.0000 0.0000 8.3801 0.3065 -2.0848 -2.4106 8.7861" Properties=species:S:1:pos:R:3 pbc="T T T"
As 0.0000 1.9642 2.9948
As 2.0848 4.0053 6.0978
Nd 2.0848 -0.1351 3.1670
Nd 0.0000 6.1046 5.9256
Nd 0.0000 1.8660 5.9846
Nd 2.0848 4.1035 3.1079
Nd 2.0848 -0.0606 8.8603
Nd 0.0000 6.0301 0.2322
S 0.0000 6.2007 3.1141
S 2.0848 -0.2312 5.9784
S 2.0848 4.1900 0.1532
Br 2.0848 0.0000 0.0000
```

Output
density of states at the Fermi level	0.41	states/eV/atom
ρ	6.380	g/cm³
uncorrected formation energy	-2013	kJ/mol of formula units
calculated volume	310.1	Å³ per cell
E	-72.8	eV per cell

# 6
CrTc2Ru | GGA-PBE | optimized geometry

Geometry as extended XYZ:
```
4
Lattice="2.7009 0.0000 0.0000 0.0000 2.7009 0.0000 0.0000 0.0000 7.5561" Properties=species:S:1:pos:R:3 pbc="T T T"
Ru 1.3504 1.3504 5.6671
Cr 1.3504 1.3504 1.8890
Tc 0.0000 0.0000 3.7000
Tc 0.0000 0.0000 0.0781
```

Output
density of states at the Fermi level	1.22	states/eV/atom
ρ	10.516	g/cm³
E_form	0.125	eV/atom
calculated volume	55.1	Å³ per cell
E	-39.1	eV per cell